## AlIn2Ag (PBE-GGA)

Data for crystalline AlIn2Ag at its relaxed geometry.

Values from the calculation:
N(E_F): 1.40 states/eV/f.u.
E_tot: -2.89 eV per atom
calculated volume: 21.98 Å³/atom
energy of formation: 129 meV/atom

```
data_AlIn2Ag
_chemical_formula_sum 'Al1 In2 Ag1'
_space_group_name_H-M_alt 'P 4/m m m'
_space_group_IT_number 123
_space_group_name_Hall '-P 4 2'
_cell_length_a 4.5993
_cell_length_b 4.5993
_cell_length_c 4.1571
_cell_angle_alpha 90.00
_cell_angle_beta 90.00
_cell_angle_gamma 90.00
loop_
_atom_site_label
_atom_site_type_symbol
_atom_site_fract_x
_atom_site_fract_y
_atom_site_fract_z
Al1 Al 0.0000 0.0000 0.0000
In1 In 0.0000 0.5000 0.5000
Ag1 Ag 0.5000 0.5000 0.0000
```